An optimized crystal structure of BaSnHgSe4, computed with PBE-GGA.

Cell: 13.4735 13.3137 16.2594 Å, 53.08 52.18 74.74°
Fractional coordinates of all 56 atoms:
Sn 0.5961 0.9794 0.1532
Sn 0.0968 0.9787 0.6539
Sn 0.4814 0.0079 0.7677
Sn 0.5070 0.4823 0.2421
Sn 0.9787 0.0968 0.2706
Sn 0.9794 0.5961 0.2713
Sn 0.0079 0.4814 0.7430
Sn 0.4823 0.5070 0.7686
Se 0.9761 0.2887 0.2754
Se 0.9491 0.7688 0.8037
Se 0.7717 0.4463 0.4812
Se 0.5304 0.6937 0.0456
Se 0.2887 0.9761 0.4598
Se 0.0272 0.1920 0.5484
Se 0.4808 0.8129 0.7679
Se 0.6909 0.0290 0.7326
Se 0.6937 0.5304 0.7303
Se 0.1952 0.5302 0.2288
Se 0.0212 0.2043 0.0548
Se 0.7025 0.5174 0.2210
Se 0.9590 0.2715 0.7938
Se 0.5197 0.2044 0.5563
Se 0.5174 0.7025 0.5591
Se 0.5302 0.1952 0.0457
Se 0.2715 0.9590 0.9757
Se 0.8129 0.4808 0.9385
Se 0.4463 0.7717 0.3009
Se 0.3115 0.4821 0.4371
Se 0.7688 0.9491 0.4783
Se 0.0290 0.6909 0.5475
Se 0.4562 0.2743 0.2910
Se 0.7016 0.0175 0.2228
Se 0.2043 0.0212 0.7198
Se 0.0175 0.7016 0.0580
Se 0.7902 0.9746 0.9613
Se 0.1920 0.0272 0.2325
Se 0.9746 0.7902 0.2739
Se 0.2044 0.5197 0.7196
Se 0.4821 0.3115 0.7692
Se 0.2743 0.4562 0.9785
Ba 0.4967 0.0022 0.4995
Ba 0.7510 0.7510 0.7490
Ba 0.2484 0.7505 0.2478
Ba 0.7505 0.2484 0.7533
Ba 0.0022 0.4967 0.0016
Ba 0.2475 0.2475 0.2525
Ba 0.9975 0.9975 0.0025
Ba 0.5010 0.5010 0.4990
Hg 0.6656 0.2645 0.0856
Hg 0.7578 0.2324 0.4916
Hg 0.2645 0.6656 0.9844
Hg 0.7584 0.7318 0.4922
Hg 0.1644 0.2656 0.5844
Hg 0.2656 0.1644 0.9855
Hg 0.2324 0.7578 0.5182
Hg 0.7318 0.7584 0.0176

=====

An optimized crystal structure of Ba2SnHg5, computed with PBE-GGA.

Cell: 5.3332 7.4055 7.4055 Å, 59.22 90.00 90.00°
Fractional coordinates of all 8 atoms:
Hg 0.0000 0.8500 0.2943
Hg 0.5000 0.1501 0.1501
Hg 0.5000 0.1488 0.6969
Hg 0.0000 0.2943 0.8500
Hg 0.5000 0.6969 0.1488
Ba 0.5000 0.6671 0.6671
Ba 0.0000 0.3363 0.3363
Sn 0.0000 0.8564 0.8564

=====

An optimized crystal structure of BaSnHg2, computed with PBE-GGA.

Cell: 7.3883 7.3883 5.3321 Å, 90.00 90.00 121.29°
Fractional coordinates of all 8 atoms:
Hg 0.8012 0.6475 0.2500
Hg 0.1988 0.3525 0.7500
Hg 0.3525 0.1988 0.2500
Hg 0.6475 0.8012 0.7500
Sn 0.3571 0.6429 0.2500
Sn 0.6429 0.3571 0.7500
Ba 0.1653 0.8347 0.7500
Ba 0.8347 0.1653 0.2500

=====

An optimized crystal structure of BaSn2Hg, computed with PBE-GGA.

Cell: 5.6088 5.6088 5.6088 Å, 60.00 60.00 60.00°
Fractional coordinates of all 4 atoms:
Sn 0.0000 0.0000 0.0000
Sn 0.7500 0.7500 0.7500
Ba 0.5000 0.5000 0.5000
Hg 0.2500 0.2500 0.2500

=====

Number 1: energy -208.394 eV per cell, volume 32.43 Å³/atom. Number 2: energy -12.649 eV per cell, volume 31.41 Å³/atom. Number 3: energy -16.104 eV per cell, volume 31.09 Å³/atom. Number 4: energy -11.557 eV per cell, volume 31.19 Å³/atom.